Entry 1:
A plane-wave DFT calculation with meta-GGA SCAN was carried out for NaTl2NiO at its PBEsol-relaxed geometry.

```
NaTl2NiO
1.0
4.820 0.000 0.000
0.000 4.820 0.000
0.000 0.000 4.091
Na Tl Ni O
1 2 1 1
Cartesian
0.000 0.000 0.000
0.000 2.410 2.045
2.410 0.000 2.045
2.410 2.410 0.000
0.000 0.000 2.045
```

Values from the calculation:
DOS at the Fermi energy = 1.97 states/eV/cell
formation energy from raw total energies = 0.03 eV/f.u.

---

Entry 2:
A plane-wave DFT calculation with meta-GGA SCAN was carried out for NaTcNi2Os at its PBEsol-relaxed geometry.

```
NaTcNi2Os
1.0
4.521 0.000 0.000
0.000 4.521 0.000
0.000 0.000 4.569
Na Tc Ni Os
1 1 2 1
Cartesian
0.000 0.000 0.000
2.260 2.260 2.284
0.000 2.260 2.284
2.260 0.000 2.284
2.260 2.260 0.000
```

Values from the calculation:
DOS at the Fermi energy = 3.85 states/eV/cell
VASP energy = -27.347 eV/atom

---

Entry 3:
A plane-wave DFT calculation with meta-GGA SCAN was carried out for Na2NiP2 at its PBEsol-relaxed geometry.

```
Na2NiP2
1.0
5.802 0.000 0.000
0.000 5.802 0.000
0.000 0.000 4.756
Na Ni P
4 2 4
Cartesian
1.022 1.879 0.000
1.879 4.780 0.000
3.923 1.022 0.000
4.780 3.923 0.000
0.000 0.000 2.378
2.901 2.901 2.378
0.802 3.703 2.378
2.099 0.802 2.378
3.703 5.000 2.378
5.000 2.099 2.378
```

Values from the calculation:
DOS at the Fermi energy = 2.89 states/eV/cell
VASP energy = -9.550 eV/atom

---

Entry 4:
A plane-wave DFT calculation with meta-GGA SCAN was carried out for NaNiPPd2 at its PBEsol-relaxed geometry.

```
NaNiPPd2
1.0
4.768 0.000 0.000
0.000 4.768 0.000
0.000 0.000 3.997
Na Ni P Pd
1 1 1 2
Cartesian
0.000 0.000 0.000
2.384 2.384 1.999
2.384 2.384 0.000
0.000 2.384 1.999
2.384 0.000 1.999
```

Values from the calculation:
DOS at the Fermi energy = 5.26 states/eV/cell
VASP energy = -19.034 eV/atom

---

Entry 5:
A plane-wave DFT calculation with meta-GGA SCAN was carried out for NaNi3Pb at its PBEsol-relaxed geometry.

```
NaNi3Pb
1.0
4.340 0.000 0.000
0.000 4.340 0.000
0.000 0.000 4.340
Na Ni Pb
1 3 1
Cartesian
0.000 0.000 0.000
0.000 0.000 2.170
0.000 2.170 0.000
2.170 0.000 0.000
2.170 2.170 2.170
```

Values from the calculation:
DOS at the Fermi energy = 4.32 states/eV/cell
VASP energy = -24.251 eV/atom

---

Entry 6:
A plane-wave DFT calculation with meta-GGA SCAN was carried out for NaNiPb2 at its PBEsol-relaxed geometry.

```
NaNiPb2
1.0
4.234 0.000 0.000
0.000 11.259 0.000
0.000 0.000 7.598
Na Ni Pb
4 4 8
Cartesian
0.000 0.649 1.899
0.000 10.610 5.698
2.117 4.980 5.698
2.117 6.279 1.899
0.000 2.416 5.698
0.000 8.843 1.899
2.117 3.214 1.899
2.117 8.045 5.698
0.000 3.986 0.335
0.000 3.986 3.464
0.000 7.273 4.134
0.000 7.273 7.263
2.117 1.644 4.134
2.117 1.644 7.263
2.117 9.615 0.335
2.117 9.615 3.464
```

Values from the calculation:
DOS at the Fermi energy = 7.34 states/eV/cell
VASP energy = -43.060 eV/atom

---

Entry 7:
A plane-wave DFT calculation with meta-GGA SCAN was carried out for Na3NiPd at its PBEsol-relaxed geometry.

```
Na3NiPd
1.0
5.024 0.000 0.000
0.000 5.024 0.000
0.000 0.000 5.024
Na Ni Pd
3 1 1
Cartesian
0.000 0.000 2.512
0.000 2.512 0.000
2.512 0.000 0.000
0.000 0.000 0.000
2.512 2.512 2.512
```

Values from the calculation:
DOS at the Fermi energy = 7.49 states/eV/cell
VASP energy = -11.485 eV/atom

---

Entry 8:
A plane-wave DFT calculation with meta-GGA SCAN was carried out for NaNiPd3 at its PBEsol-relaxed geometry.

```
NaNiPd3
1.0
4.462 0.000 0.000
0.000 4.462 0.000
0.000 0.000 4.462
Na Ni Pd
1 1 3
Cartesian
0.000 0.000 0.000
2.231 2.231 2.231
0.000 0.000 2.231
0.000 2.231 0.000
2.231 0.000 0.000
```

Values from the calculation:
DOS at the Fermi energy = 6.59 states/eV/cell
VASP energy = -22.365 eV/atom

---

Entry 9:
A plane-wave DFT calculation with meta-GGA SCAN was carried out for Na2NiPt at its PBEsol-relaxed geometry.

```
Na2NiPt
1.0
6.420 0.000 0.000
0.000 6.420 0.000
0.000 0.000 6.420
Na Ni Pt
8 4 4
Cartesian
1.605 1.605 1.605
1.605 1.605 4.815
1.605 4.815 1.605
1.605 4.815 4.815
4.815 1.605 1.605
4.815 1.605 4.815
4.815 4.815 1.605
4.815 4.815 4.815
0.000 0.000 0.000
0.000 3.210 3.210
3.210 0.000 3.210
3.210 3.210 0.000
0.000 0.000 3.210
0.000 3.210 0.000
3.210 0.000 0.000
3.210 3.210 3.210
```

Values from the calculation:
DOS at the Fermi energy = 13.44 states/eV/cell
VASP energy = -23.295 eV/atom

---

Entry 10:
A plane-wave DFT calculation with meta-GGA SCAN was carried out for Na2ReNiPt at its PBEsol-relaxed geometry.

```
Na2ReNiPt
1.0
5.412 0.000 0.000
0.000 5.412 0.000
0.000 0.000 4.685
Na Re Ni Pt
2 1 1 1
Cartesian
0.000 2.706 0.000
2.706 0.000 0.000
0.000 0.000 0.000
2.706 2.706 2.342
0.000 0.000 2.342
```

Values from the calculation:
DOS at the Fermi energy = 6.48 states/eV/cell
VASP energy = -31.527 eV/atom

---

Entry 11:
A plane-wave DFT calculation with meta-GGA SCAN was carried out for NaReNi3 at its PBEsol-relaxed geometry.

```
NaReNi3
1.0
4.088 0.000 0.000
0.000 4.088 0.000
0.000 0.000 4.088
Na Re Ni
1 1 3
Cartesian
0.000 0.000 0.000
2.044 2.044 2.044
0.000 0.000 2.044
0.000 2.044 0.000
2.044 0.000 0.000
```

Values from the calculation:
DOS at the Fermi energy = 4.10 states/eV/cell
VASP energy = -22.773 eV/atom

---

Entry 12:
A plane-wave DFT calculation with meta-GGA SCAN was carried out for NaReNi2Rh at its PBEsol-relaxed geometry.

```
NaReNi2Rh
1.0
4.620 0.000 0.000
0.000 4.620 0.000
0.000 0.000 4.595
Na Re Ni Rh
1 1 2 1
Cartesian
0.000 0.000 0.000
2.310 2.310 0.000
0.000 2.310 2.298
2.310 0.000 2.298
2.310 2.310 2.298
```

Values from the calculation:
DOS at the Fermi energy = 2.42 states/eV/cell
VASP energy = -27.006 eV/atom

---

Entry 13:
A plane-wave DFT calculation with meta-GGA SCAN was carried out for NaTiReNi2 at its PBEsol-relaxed geometry.

```
NaTiReNi2
1.0
4.052 0.000 0.000
0.000 4.052 0.000
0.000 0.000 4.621
Na Ti Re Ni
1 1 1 2
Cartesian
0.000 0.000 0.000
2.026 2.026 2.310
0.000 0.000 2.310
0.000 2.026 0.000
2.026 0.000 0.000
```

Values from the calculation:
DOS at the Fermi energy = 3.80 states/eV/cell
VASP energy = -22.918 eV/atom

---

Entry 14:
A plane-wave DFT calculation with meta-GGA SCAN was carried out for Na3NiRu at its PBEsol-relaxed geometry.

```
Na3NiRu
1.0
5.013 0.000 0.000
0.000 5.013 0.000
0.000 0.000 5.013
Na Ni Ru
3 1 1
Cartesian
0.000 0.000 2.507
0.000 2.507 0.000
2.507 0.000 0.000
0.000 0.000 0.000
2.507 2.507 2.507
```

Values from the calculation:
DOS at the Fermi energy = 4.89 states/eV/cell
VASP energy = -11.360 eV/atom

---

Entry 15:
A plane-wave DFT calculation with meta-GGA SCAN was carried out for NaNiRu2W at its PBEsol-relaxed geometry.

```
NaNiRu2W
1.0
4.499 0.000 0.000
0.000 4.499 0.000
0.000 0.000 4.376
Na Ni Ru W
1 1 2 1
Cartesian
0.000 0.000 0.000
2.249 2.249 2.188
0.000 2.249 2.188
2.249 0.000 2.188
2.249 2.249 0.000
```

Values from the calculation:
DOS at the Fermi energy = 4.65 states/eV/cell
VASP energy = -30.320 eV/atom

---

Entry 16:
A plane-wave DFT calculation with meta-GGA SCAN was carried out for NaNiS3 at its PBEsol-relaxed geometry.

```
NaNiS3
1.0
4.712 0.000 0.000
0.000 4.712 0.000
0.000 0.000 4.712
Na Ni S
1 1 3
Cartesian
0.000 0.000 0.000
2.356 2.356 2.356
0.000 0.000 2.356
0.000 2.356 0.000
2.356 0.000 0.000
```

Values from the calculation:
DOS at the Fermi energy = 8.04 states/eV/cell
formation energy from raw total energies = 6.66 eV/f.u.

---

Entry 17:
A plane-wave DFT calculation with meta-GGA SCAN was carried out for Na2NiSb2 at its PBEsol-relaxed geometry.

```
Na2NiSb2
1.0
6.652 0.000 0.000
0.000 6.652 0.000
0.000 0.000 5.176
Na Ni Sb
4 2 4
Cartesian
1.122 2.204 0.000
2.204 5.530 0.000
4.448 1.122 0.000
5.530 4.448 0.000
0.000 0.000 2.588
3.326 3.326 2.588
1.026 4.352 2.588
2.300 1.026 2.588
4.352 5.626 2.588
5.626 2.300 2.588
```

Values from the calculation:
DOS at the Fermi energy = 3.60 states/eV/cell
formation energy from raw total energies = -1.50 eV/f.u.

---

Entry 18:
A plane-wave DFT calculation with meta-GGA SCAN was carried out for NaTcNiSb2 at its PBEsol-relaxed geometry.

```
NaTcNiSb2
1.0
4.817 0.000 0.000
0.000 4.817 0.000
0.000 0.000 4.575
Na Tc Ni Sb
1 1 1 2
Cartesian
0.000 0.000 0.000
2.409 2.409 0.000
0.000 0.000 2.287
0.000 2.409 2.287
2.409 0.000 2.287
```

Values from the calculation:
DOS at the Fermi energy = 2.91 states/eV/cell
formation energy from raw total energies = 3.62 eV/f.u.

---

Entry 19:
A plane-wave DFT calculation with meta-GGA SCAN was carried out for NaNiSb2Te at its PBEsol-relaxed geometry.

```
NaNiSb2Te
1.0
5.199 0.000 0.000
0.000 5.199 0.000
0.000 0.000 5.255
Na Ni Sb Te
1 1 2 1
Cartesian
0.000 0.000 0.000
2.599 2.599 2.627
0.000 2.599 0.000
2.599 0.000 0.000
0.000 0.000 2.627
```

Values from the calculation:
DOS at the Fermi energy = 4.06 states/eV/cell
formation energy from raw total energies = 6.16 eV/f.u.

---

Entry 20:
A plane-wave DFT calculation with meta-GGA SCAN was carried out for NaNiSb2W at its PBEsol-relaxed geometry.

```
NaNiSb2W
1.0
5.165 0.000 0.000
0.000 5.165 0.000
0.000 0.000 4.731
Na Ni Sb W
1 1 2 1
Cartesian
0.000 0.000 0.000
2.583 2.583 0.000
0.000 2.583 2.366
2.583 0.000 2.366
2.583 2.583 2.366
```

Values from the calculation:
DOS at the Fermi energy = 3.57 states/eV/cell
formation energy from raw total energies = 3.02 eV/f.u.